This record from the Alexandria database describes Ho2ScPb3 after structural relaxation. The functional is PBE-GGA.

Calculated values
density of states at the Fermi level: 2.4 states/eV/f.u.
formation energy: -0.45 eV/atom

Geometry as CIF:
```
data_Ho2ScPb3
_chemical_formula_sum 'Ho8 Sc4 Pb12'
_symmetry_space_group_name_H-M 'C 1 2/c 1'
_symmetry_Int_Tables_number 15
_symmetry_space_group_name_Hall '-C 2yc'
_cell_length_a 16.6081
_cell_length_b 6.3043
_cell_length_c 6.2879
_cell_angle_alpha 90.00
_cell_angle_beta 100.85
_cell_angle_gamma 90.00
loop_
_atom_site_label
_atom_site_type_symbol
_atom_site_fract_x
_atom_site_fract_y
_atom_site_fract_z
_atom_site_occupancy
Ho1 Ho 0.1668 0.1276 0.0911 1
Sc1 Sc 0.0000 0.3806 0.2500 1
Pb1 Pb 0.0000 0.1219 0.7500 1
Pb2 Pb 0.1622 0.3742 0.5799 1
```